[1]
The following is a DFT calculation (PBE) of Fe3NiBi after structural relaxation.

Values from the calculation:
The formation energy comes out at 1.89 eV per atom. As for the size of the total moment: 9.19 μB per formula unit. The energy above the most stable polymorph in this dataset is 110.8 kJ/mol of atoms. The total energy comes out at -5.118 eV per atom.

a b c (Å): 4.8616 4.8616 4.8616
angles (deg): 90.00 90.00 90.00
Closest atoms and distances in Å follow each position.
Fractional positions:
1 Bi 0.0000 0.0000 0.0000  6 Fe 2.43
2 Fe 0.5000 0.0000 0.0000  2 Bi 2.43
3 Fe 0.0000 0.0000 0.5000  2 Bi 2.43
4 Fe 0.0000 0.5000 0.0000  2 Bi 2.43
5 Ni 0.5000 0.5000 0.5000  12 Fe 3.44

[2]
The following is a DFT calculation (PBE) of Fe3NiBi after structural relaxation.

Values from the calculation:
The formation energy comes out at 0.74 eV per atom. As for the size of the total moment: 9.58 μB per formula unit. The energy above the most stable polymorph in this dataset is 0.0 kJ/mol of atoms. The total energy comes out at -6.266 eV per atom.

a b c (Å): 4.4313 4.4313 4.4313
angles (deg): 90.00 90.00 90.00
Closest atoms and distances in Å follow each position.
Fractional positions:
1 Fe 0.5000 0.0000 0.0000  2 Ni 2.22
2 Fe 0.0000 0.5000 0.0000  2 Ni 2.22
3 Fe 0.0000 0.0000 0.5000  2 Ni 2.22
4 Ni 0.0000 0.0000 0.0000  6 Fe 2.22
5 Bi 0.5000 0.5000 0.5000  12 Fe 3.13

[3]
The following is a DFT calculation (PBE) of Fe2NiBi after structural relaxation.

Values from the calculation:
The formation energy comes out at 0.58 eV per atom. As for the size of the total moment: 5.22 μB per formula unit. The total energy comes out at -6.070 eV per atom.

a b c (Å): 3.7238 3.7238 9.7341
angles (deg): 78.97 78.97 90.00
Closest atoms and distances in Å follow each position.
Fractional positions:
1 Fe 0.5981 0.1250 0.2500  4 Fe 2.50-2.78, 2 Ni 2.65, 2 Bi 2.72
2 Fe 0.8750 0.8481 0.7500  4 Fe 2.50-2.78, 2 Ni 2.65, 2 Bi 2.72
3 Fe 0.1519 0.6250 0.2500  4 Fe 2.50-2.78, 2 Ni 2.65, 2 Bi 2.72
4 Fe 0.3750 0.4019 0.7500  4 Fe 2.50-2.78, 2 Ni 2.65, 2 Bi 2.72
5 Bi 0.7500 0.2500 0.5000  4 Ni 2.63, 4 Fe 2.72
6 Bi 0.0000 0.0000 0.0000  4 Ni 2.63, 4 Fe 2.72
7 Ni 0.2500 0.7500 0.5000  4 Bi 2.63, 4 Fe 2.65
8 Ni 0.5000 0.5000 0.0000  4 Bi 2.63, 4 Fe 2.65

[4]
The following is a DFT calculation (PBE) of Fe2NiBi2 after structural relaxation.

Values from the calculation:
The formation energy comes out at 0.71 eV per atom. As for the size of the total moment: 4.67 μB per formula unit. The energy above the most stable polymorph in this dataset is 9.2 kJ/mol of atoms. The total energy comes out at -5.383 eV per atom.

a b c (Å): 5.2463 5.2463 5.1661
angles (deg): 59.48 59.48 90.00
Closest atoms and distances in Å follow each position.
Fractional positions:
1 Bi 0.7500 0.2500 0.5000  4 Fe 2.72
2 Bi 0.2500 0.7500 0.5000  4 Fe 2.72
3 Fe 0.6508 0.6508 0.6984  1 Fe 2.17
4 Fe 0.3492 0.3492 0.3016  1 Fe 2.17
5 Ni 0.0000 0.0000 0.0000  2 Fe 2.51

[5]
The following is a DFT calculation (PBE) of FeNi2Bi2 after structural relaxation.

Values from the calculation:
The formation energy comes out at 0.59 eV per atom. As for the size of the total moment: 0.00 μB per formula unit. The energy above the most stable polymorph in this dataset is 25.8 kJ/mol of atoms. The total energy comes out at -4.968 eV per atom.

a b c (Å): 7.1265 7.1265 3.5146
angles (deg): 90.00 90.00 90.00
Closest atoms and distances in Å follow each position.
Fractional positions:
1 Ni 0.3731 0.1269 0.5000  1 Ni 2.56, 6 Bi 2.70-2.77
2 Ni 0.1269 0.6269 0.5000  1 Ni 2.56, 6 Bi 2.70-2.77
3 Ni 0.6269 0.8731 0.5000  1 Ni 2.56, 6 Bi 2.70-2.77
4 Ni 0.8731 0.3731 0.5000  1 Ni 2.56, 6 Bi 2.70-2.77
5 Fe 0.0000 0.0000 0.0000  4 Bi 2.65
6 Fe 0.5000 0.5000 0.0000  4 Bi 2.65
7 Bi 0.3301 0.8301 0.0000  2 Fe 2.65, 6 Ni 2.70-2.77
8 Bi 0.8301 0.6699 0.0000  2 Fe 2.65, 6 Ni 2.70-2.77
9 Bi 0.1699 0.3301 0.0000  2 Fe 2.65, 6 Ni 2.70-2.77
10 Bi 0.6699 0.1699 0.0000  2 Fe 2.65, 6 Ni 2.70-2.77

[6]
The following is a DFT calculation (PBE) of Fe2NiBi2 after structural relaxation.

Values from the calculation:
The formation energy comes out at 0.62 eV per atom. As for the size of the total moment: 0.00 μB per formula unit. The energy above the most stable polymorph in this dataset is 0.0 kJ/mol of atoms. The total energy comes out at -5.478 eV per atom.

a b c (Å): 6.6494 6.6494 3.8452
angles (deg): 90.00 90.00 90.00
Closest atoms and distances in Å follow each position.
Fractional positions:
1 Bi 0.1797 0.6797 0.5000  6 Fe 2.67-2.81
2 Bi 0.8203 0.3203 0.5000  6 Fe 2.67-2.81
3 Bi 0.3203 0.1797 0.5000  6 Fe 2.67-2.81
4 Bi 0.6797 0.8203 0.5000  6 Fe 2.67-2.81
5 Fe 0.8770 0.6230 0.0000  1 Fe 2.31
6 Fe 0.6230 0.1230 0.0000  1 Fe 2.31
7 Fe 0.1230 0.3770 0.0000  1 Fe 2.31
8 Fe 0.3770 0.8770 0.0000  1 Fe 2.31
9 Ni 0.0000 0.0000 0.0000  4 Fe 2.64
10 Ni 0.5000 0.5000 0.0000  4 Fe 2.64